--- a ---
LaEr2Sc: optimized geometry, PBE-GGA.

Geometry as extended XYZ:
```
4
Lattice="-1.303 0.157 -3.361 -2.571 -5.985 -1.215 -6.414 -1.594 0.480" Properties=species:S:1:pos:R:3 pbc="T T T"
La -2.832 -1.558 -0.909
Er -6.057 -1.843 0.330
Er -4.935 -4.109 -2.148
Sc -8.021 -5.218 -2.938
```

Computed properties:
**Theoretical density**: 7.00 g/cm3
**Spin magnetization**: 0.0 Bohr magnetons per cell
**DOS at the Fermi energy**: 5.9 states/eV/cell
**Symmetry**: Imm2 (44)

***

--- b ---
LaEr2Sc: optimized geometry, PBE-GGA.

Geometry as extended XYZ:
```
4
Lattice="-2.466 -2.943 4.068 -4.475 -3.155 -1.148 0.419 -5.578 0.065" Properties=species:S:1:pos:R:3 pbc="T T T"
Sc -3.261 -5.838 1.493
Er -1.630 -2.919 0.746
Er -4.891 -8.757 2.239
La 0.000 0.000 0.000
```

Computed properties:
**Theoretical density**: 6.95 g/cm3
**Spin magnetization**: 0.0 Bohr magnetons per cell
**DOS at the Fermi energy**: 7.5 states/eV/cell
**Symmetry**: Fm-3m (225)

***

Winner for stability: a

***

--- a ---
LaEr2Sc: optimized geometry, PBE-GGA.

Geometry as extended XYZ:
```
4
Lattice="5.050 0.000 0.000 0.000 4.922 0.000 0.000 0.000 4.922" Properties=species:S:1:pos:R:3 pbc="T T T"
Sc 2.525 0.000 0.000
La 2.525 2.461 2.461
Er 0.000 0.000 2.461
Er 0.000 2.461 0.000
```

Computed properties:
**Theoretical density**: 7.04 g/cm3
**Spin magnetization**: 0.0 Bohr magnetons per cell
**DOS at the Fermi energy**: 7.3 states/eV/cell
**Symmetry**: P4/mmm (123)

***

--- b ---
LaEr2Sc: optimized geometry, PBE-GGA.

Geometry as extended XYZ:
```
8
Lattice="-0.591 3.339 0.988 2.318 -1.222 5.521 10.947 1.025 -3.234" Properties=species:S:1:pos:R:3 pbc="T T T"
La 8.131 1.258 3.868
La 7.267 0.200 0.613
Er 10.734 0.549 1.496
Er 3.156 3.164 0.743
Er 4.610 0.883 3.009
Er 9.280 2.830 -0.770
Sc 2.275 1.668 5.286
Sc 1.412 0.610 2.031
```

Computed properties:
**Theoretical density**: 7.07 g/cm3
**Spin magnetization**: 0.0 Bohr magnetons per cell
**DOS at the Fermi energy**: 13.7 states/eV/cell
**Symmetry**: Cm (8)

***

Winner for stability: b

***

--- a ---
LaEr2Sc: optimized geometry, PBE-GGA.

Geometry as extended XYZ:
```
4
Lattice="3.504 0.000 0.000 0.000 3.504 0.000 0.000 0.000 9.998" Properties=species:S:1:pos:R:3 pbc="T T T"
Sc 1.752 1.752 0.000
La 1.752 1.752 4.999
Er 0.000 0.000 7.708
Er 0.000 0.000 2.290
```

Computed properties:
**Theoretical density**: 7.01 g/cm3
**Spin magnetization**: 0.0 Bohr magnetons per cell
**DOS at the Fermi energy**: 7.4 states/eV/cell
**Symmetry**: P4/mmm (123)

***

--- b ---
LaEr2Sc: optimized geometry, PBE-GGA.

Geometry as extended XYZ:
```
4
Lattice="3.516 0.000 0.000 1.758 3.045 0.000 1.758 1.015 11.362" Properties=species:S:1:pos:R:3 pbc="T T T"
Sc 3.516 2.030 5.681
La 0.000 0.000 0.000
Er 5.273 3.045 8.358
Er 1.758 1.015 3.004
```

Computed properties:
**Theoretical density**: 7.08 g/cm3
**Spin magnetization**: 0.0 Bohr magnetons per cell
**DOS at the Fermi energy**: 5.5 states/eV/cell
**Symmetry**: R-3m (166)

***

Winner for stability: b

***

--- a ---
LaEr8Sc2: optimized geometry, PBE-GGA.

Geometry as extended XYZ:
```
11
Lattice="-3.852 1.058 4.220 -7.075 -5.007 2.755 1.422 -6.472 6.900" Properties=species:S:1:pos:R:3 pbc="T T T"
La -1.926 0.529 2.110
Er -3.268 -1.421 5.380
Er -4.527 -5.748 9.295
Er -4.456 -2.225 2.403
Er -6.991 -6.087 7.104
Er -2.514 -4.334 6.771
Er -6.471 -1.725 4.572
Er -4.979 -4.673 4.580
Er -6.238 -9.000 8.495
Sc -1.687 -3.984 3.438
Sc -3.966 -7.495 6.218
```

Computed properties:
**Theoretical density**: 7.58 g/cm3
**Spin magnetization**: 0.0 Bohr magnetons per cell
**DOS at the Fermi energy**: 16.0 states/eV/cell
**Symmetry**: C2/m (12)

***

--- b ---
LaEr8Sc2: optimized geometry, PBE-GGA.

Geometry as extended XYZ:
```
11
Lattice="-3.853 3.060 0.252 -3.338 -4.640 5.316 8.140 6.084 2.431" Properties=species:S:1:pos:R:3 pbc="T T T"
La -1.926 1.530 0.126
Er -3.179 -0.406 4.485
Er 2.117 2.295 4.508
Er 1.455 1.733 1.193
Er -0.642 -0.991 2.221
Er -0.505 2.770 6.806
Er -1.168 2.208 3.491
Er 4.129 4.910 3.514
Er 1.591 5.494 5.779
Sc 0.098 -0.332 5.544
Sc 0.851 4.836 2.455
```

Computed properties:
**Theoretical density**: 7.89 g/cm3
**Spin magnetization**: 0.0 Bohr magnetons per cell
**DOS at the Fermi energy**: 17.3 states/eV/cell
**Symmetry**: C2/m (12)

***

Winner for stability: b

***

--- a ---
LaErSc: optimized geometry, PBE-GGA.

Geometry as extended XYZ:
```
3
Lattice="-1.812 -2.906 0.888 1.041 0.378 3.360 -5.527 5.370 -0.754" Properties=species:S:1:pos:R:3 pbc="T T T"
Sc -2.317 0.077 2.572
Er -0.096 0.067 0.022
La -3.885 2.698 0.900
```

Computed properties:
**Theoretical density**: 6.36 g/cm3
**Spin magnetization**: 0.0 Bohr magnetons per cell
**DOS at the Fermi energy**: 4.8 states/eV/cell
**Symmetry**: I4mm (107)

***

--- b ---
LaErSc: optimized geometry, PBE-GGA.

Geometry as extended XYZ:
```
6
Lattice="3.736 0.000 0.000 0.000 3.729 -0.208 0.000 0.737 13.316" Properties=species:S:1:pos:R:3 pbc="T T T"
La 2.802 1.598 11.975
La 0.934 2.868 1.133
Er 2.802 1.147 3.822
Er 0.934 3.319 9.287
Sc 2.802 1.345 7.404
Sc 0.934 3.121 5.704
```

Computed properties:
**Theoretical density**: 6.27 g/cm3
**Spin magnetization**: 0.0 Bohr magnetons per cell
**DOS at the Fermi energy**: 9.9 states/eV/cell
**Symmetry**: P4/nmm (129)

***

Winner for stability: b

***

--- a ---
LaErSc: optimized geometry, PBE-GGA.

Geometry as extended XYZ:
```
3
Lattice="3.367 0.000 0.000 0.000 5.566 0.000 0.000 -2.783 4.821" Properties=species:S:1:pos:R:3 pbc="T T T"
Sc 2.244 2.783 1.607
La 0.559 0.000 0.000
Er 0.563 0.000 3.214
```

Computed properties:
**Theoretical density**: 6.45 g/cm3
**Spin magnetization**: 0.0 Bohr magnetons per cell
**DOS at the Fermi energy**: 6.3 states/eV/cell
**Symmetry**: P-6m2 (187)

***

--- b ---
LaErSc: optimized geometry, PBE-GGA.

Geometry as extended XYZ:
```
6
Lattice="-4.363 -2.135 -0.650 1.244 -2.948 1.334 -3.635 4.648 9.129" Properties=species:S:1:pos:R:3 pbc="T T T"
La -3.313 1.501 4.489
La -3.657 -3.141 3.573
Er -1.572 -1.152 1.519
Er -5.399 -0.487 6.544
Sc -6.317 0.480 9.525
Sc -4.289 2.529 7.666
```

Computed properties:
**Theoretical density**: 6.40 g/cm3
**Spin magnetization**: 0.0 Bohr magnetons per cell
**DOS at the Fermi energy**: 9.7 states/eV/cell
**Symmetry**: P2_1/m (11)

***

Winner for stability: b